(1)
# ZnAg2Te | the Alexandria database | GGA-PBEsol | relaxed
data_ZnAg2Te
_space_group_name_H-M_alt 'I -4 m 2'
_space_group_IT_number 119
_space_group_name_Hall 'I -4 -2'
_cell_length_a 4.199
_cell_length_b 4.199
_cell_length_c 8.608
_cell_angle_alpha 90.00
_cell_angle_beta 90.00
_cell_angle_gamma 90.00
loop_
_atom_site_label
_atom_site_fract_x
_atom_site_fract_y
_atom_site_fract_z
Zn1 0.000 0.000 0.000
Ag1 0.000 0.000 0.500
Ag2 0.000 0.500 0.250
Te1 0.000 0.500 0.750
# uncorrected energy	-2.818	eV per atom
# DOS at the Fermi energy	2.05	states/eV/cell
# distance to the lowest polymorph of the same formula	0.0641	eV/atom

***

(2)
# HgPHCl2 | the Alexandria database | GGA-PBEsol | relaxed
data_HgPHCl2
_space_group_name_H-M_alt 'P 4/m m m'
_space_group_IT_number 123
_space_group_name_Hall '-P 4 2'
_cell_length_a 4.994
_cell_length_b 4.994
_cell_length_c 3.332
_cell_angle_alpha 90.00
_cell_angle_beta 90.00
_cell_angle_gamma 90.00
loop_
_atom_site_label
_atom_site_fract_x
_atom_site_fract_y
_atom_site_fract_z
Hg1 0.000 0.000 0.000
P1 0.500 0.500 0.000
H1 0.500 0.500 0.500
Cl1 0.000 0.500 0.500
# uncorrected energy	-2.353	eV per atom
# DOS at the Fermi energy	2.91	states/eV/cell